## HgH3Pd8Pb2 (PBE)

Data for a geometry-optimized HgH3Pd8Pb2 structure.

a b c (Å): 5.7965 5.7965 7.9603
angles (deg): 68.65 68.65 60.00
With the nearest neighbours (Å) after each atom.
Fractional coordinates of all 14 atoms:
H (0.9762, 0.5005, 0.0229)  4 Pd 1.93-2.03
H (0.5005, 0.5005, 0.0229)  4 Pd 1.93-2.03
H (0.5005, 0.9762, 0.0229)  4 Pd 1.93-2.03
Pd (0.7175, 0.7175, 0.8476)  3 H 2.03
Pd (0.2252, 0.2252, 0.8254)  2 H 2.23
Pd (0.2843, 0.2843, 0.1472)  3 H 1.97
Pd (0.7242, 0.2252, 0.8254)  2 H 2.23
Pd (0.7812, 0.7812, 0.1631)  2 H 1.93
Pd (0.7812, 0.2745, 0.1631)  2 H 1.93
Pd (0.2252, 0.7242, 0.8254)  2 H 2.23
Pd (0.2745, 0.7812, 0.1631)  2 H 1.93
Pb (0.1598, 0.1598, 0.5205)  4 Pd 2.70-2.77
Pb (0.5018, 0.5018, 0.4946)  6 Pd 2.91-2.93
Hg (0.8407, 0.8407, 0.4780)  4 Pd 2.67-2.81

Output
calculated volume: 15.012 Å³ per atom
space-group type: R3m, No. 160
total magnetic moment: 0.0 μB/cell
raw total energy: -60.59 eV/f.u.



## Tb2Pm3Pt2 (PBE)

Data for a geometry-optimized Tb2Pm3Pt2 structure.

a b c (Å): 3.8367 6.5178 9.1579
angles (deg): 114.03 90.00 107.12
With the nearest neighbours (Å) after each atom.
Fractional coordinates of all 7 atoms:
Tb (0.1667, 0.3334, 0.8141)  2 Pt 2.90
Tb (0.8333, 0.6666, 0.1859)  2 Pt 2.90
Pm (0.5000, 0.0000, 0.0000)  4 Pt 3.02
Pm (0.6137, 0.2275, 0.4333)  3 Pt 2.97-3.05
Pm (0.3863, 0.7725, 0.5667)  3 Pt 2.97-3.05
Pt (0.8232, 0.6464, 0.7648)  2 Tb 2.90, 5 Pm 2.97-3.05
Pt (0.1768, 0.3536, 0.2352)  2 Tb 2.90, 5 Pm 2.97-3.05

Output
calculated volume: 28.286 Å³ per atom
space-group type: C2/m, No. 12
total magnetic moment: 0.0 μB/cell
formation enthalpy at 0 K: -719 meV/atom



## Ba3SmIn4 (PBE)

Data for a geometry-optimized Ba3SmIn4 structure.

a b c (Å): 4.1209 4.1209 16.9905
angles (deg): 90.00 90.00 90.00
With the nearest neighbours (Å) after each atom.
Fractional coordinates of all 8 atoms:
In (0.0000, 0.0000, 0.3713)  8 Ba 3.64-3.70
In (0.0000, 0.0000, 0.6287)  8 Ba 3.64-3.70
In (0.0000, 0.0000, 0.9020)  1 In 3.33, 4 Sm 3.36
In (0.0000, 0.0000, 0.0980)  1 In 3.33, 4 Sm 3.36
Ba (0.5000, 0.5000, 0.5000)  8 In 3.64
Ba (0.5000, 0.5000, 0.2373)  8 In 3.70-3.75, 1 Sm 4.03, 4 Ba 4.12
Ba (0.5000, 0.5000, 0.7627)  8 In 3.70-3.75, 1 Sm 4.03, 4 Ba 4.12
Sm (0.5000, 0.5000, 0.0000)  8 In 3.36

Output
calculated volume: 36.067 Å³ per atom
space-group type: P4/mmm, No. 123
total magnetic moment: 0.0 μB/cell
formation enthalpy at 0 K: -400 meV/atom



## VCo3H (PBE)

Data for a geometry-optimized VCo3H structure.

a b c (Å): 4.7413 4.7413 5.5589
angles (deg): 64.76 64.76 90.00
With the nearest neighbours (Å) after each atom.
Fractional coordinates of all 10 atoms:
H (0.0000, 0.0000, 0.0000)  4 Co 1.63
H (0.2500, 0.7500, 0.5000)  4 Co 1.62
Co (0.6271, 0.6271, 0.7458)  3 Co 2.25-2.49, 2 V 2.38
Co (0.1242, 0.8739, 0.2522)  2 H 1.62-1.63
Co (0.1261, 0.3764, 0.7478)  2 H 1.62-1.63
Co (0.6236, 0.8739, 0.2522)  2 H 1.62-1.63
Co (0.3729, 0.3729, 0.2542)  3 Co 2.25-2.49, 2 V 2.38
Co (0.1261, 0.8758, 0.7478)  2 H 1.62-1.63
V (0.6088, 0.1088, 0.7825)  8 Co 2.38-2.66, 1 V 2.51, 2 H 2.56
V (0.8912, 0.3912, 0.2175)  8 Co 2.38-2.66, 1 V 2.51, 2 H 2.56

Output
calculated volume: 9.968 Å³ per atom
space-group type: I-4m2, No. 119
E above lowest polymorph: 423 meV/atom
total magnetic moment: 4.3 μB/cell



## Rb2CuPCl6 (PBE)

Data for a geometry-optimized Rb2CuPCl6 structure.

a b c (Å): 7.4726 7.4726 6.9710
angles (deg): 57.59 57.59 90.00
With the nearest neighbours (Å) after each atom.
Fractional coordinates of all 10 atoms:
Rb (0.2500, 0.7500, 0.5000)  12 Cl 3.49-3.74
Rb (0.7500, 0.2500, 0.5000)  12 Cl 3.49-3.74
Cl (0.7315, 0.2685, 0.0000)  1 P 2.45
Cl (0.2387, 0.2387, 0.5227)  1 Cu 2.17, 1 P 2.38
Cl (0.7315, 0.7315, 0.0000)  1 P 2.45
Cl (0.7613, 0.7613, 0.4773)  1 Cu 2.17, 1 P 2.38
Cl (0.2685, 0.2685, 0.0000)  1 P 2.45
Cl (0.2685, 0.7315, 0.0000)  1 P 2.45
P (0.5000, 0.5000, 0.0000)  6 Cl 2.38-2.45
Cu (0.0000, 0.0000, 0.0000)  2 Cl 2.17

Output
calculated volume: 25.390 Å³ per atom
space-group type: I4/mmm, No. 139
total magnetic moment: 0.0 μB/cell
ΔE_f (raw): -1.04 eV/atom



## Ta2Sn2F (PBE)

Data for a geometry-optimized Ta2Sn2F structure.

a b c (Å): 3.7694 3.7694 7.9797
angles (deg): 76.34 76.34 90.00
With the nearest neighbours (Å) after each atom.
Fractional coordinates of all 5 atoms:
F (0.0000, 0.0000, 0.0000)  8 Sn 3.02
Ta (0.7500, 0.2500, 0.5000)  4 Ta 2.67
Ta (0.2500, 0.7500, 0.5000)  4 Ta 2.67
Sn (0.4063, 0.4063, 0.1874)  1 Sn 2.82, 4 Ta 3.01, 4 F 3.02
Sn (0.5937, 0.5937, 0.8126)  1 Sn 2.82, 4 Ta 3.01, 4 F 3.02

Output
calculated volume: 21.373 Å³ per atom
space-group type: I4/mmm, No. 139
E above lowest polymorph: 0 meV/atom
total magnetic moment: 0.0 μB/cell
ΔE_f (raw): 0.06 eV/atom



## AcEr2Sb (PBE)

Data for a geometry-optimized AcEr2Sb structure.

a b c (Å): 5.5056 5.5056 5.5056
angles (deg): 60.00 60.00 60.00
With the nearest neighbours (Å) after each atom.
Fractional coordinates of all 4 atoms:
Er (0.7500, 0.7500, 0.7500)  4 Ac 3.37, 4 Sb 3.37
Er (0.2500, 0.2500, 0.2500)  4 Ac 3.37, 4 Sb 3.37
Sb (0.5000, 0.5000, 0.5000)  8 Er 3.37
Ac (0.0000, 0.0000, 0.0000)  8 Er 3.37

Output
calculated volume: 29.501 Å³ per atom
space-group type: Fm-3m, No. 225
E above lowest polymorph: 267 meV/atom
total magnetic moment: 0.0 μB/cell
ΔE_f (raw): -0.17 eV/atom



## RuRh2W (PBE)

Data for a geometry-optimized RuRh2W structure.

a b c (Å): 2.7555 2.7555 7.7163
angles (deg): 90.00 90.00 90.00
With the nearest neighbours (Å) after each atom.
Fractional coordinates of all 4 atoms:
Rh (0.0000, 0.0000, 0.9951)  4 W 2.71, 8 Rh 2.76-2.80
Rh (0.5000, 0.5000, 0.2565)  4 Ru 2.69, 8 Rh 2.76-2.80
W (0.5000, 0.5000, 0.7506)  4 Rh 2.71, 4 W 2.76, 4 Ru 2.76
Ru (0.0000, 0.0000, 0.4977)  4 Rh 2.69, 4 Ru 2.76, 4 W 2.76

Output
calculated volume: 14.647 Å³ per atom
space-group type: P4mm, No. 99
E above lowest polymorph: 156 meV/atom
total magnetic moment: 0.0 μB/cell
formation enthalpy at 0 K: -27 meV/atom



## Ti2SbMoH (PBE)

Data for a geometry-optimized Ti2SbMoH structure.

a b c (Å): 4.8970 3.4997 4.8970
angles (deg): 90.00 90.00 90.00
With the nearest neighbours (Å) after each atom.
Fractional coordinates of all 5 atoms:
Ti (0.0000, 0.0000, 0.5000)  2 Mo 2.45
Ti (0.5000, 0.0000, 0.0000)  2 Mo 2.45
Sb (0.5000, 0.5000, 0.5000)  8 Ti 3.01
Mo (0.0000, 0.0000, 0.0000)  2 H 1.75
H (0.0000, 0.5000, 0.0000)  2 Mo 1.75

Output
calculated volume: 16.785 Å³ per atom
space-group type: P4/mmm, No. 123
E above lowest polymorph: 700 meV/atom
total magnetic moment: 0.0 μB/cell



## ReTe2Os (PBE)

Data for a geometry-optimized ReTe2Os structure.

a b c (Å): 3.9820 3.9820 9.2786
angles (deg): 78.18 78.18 44.70
With the nearest neighbours (Å) after each atom.
Fractional coordinates of all 4 atoms:
Te (0.9129, 0.9129, 0.0709)  2 Re 2.69
Te (0.7605, 0.7605, 0.6600)  3 Os 2.83-2.85, 2 Te 3.03
Os (0.5276, 0.5276, 0.4554)  3 Re 2.36-2.62
Re (0.2990, 0.2990, 0.3136)  3 Os 2.36-2.62

Output
calculated volume: 25.230 Å³ per atom
space-group type: Cm, No. 8
E above lowest polymorph: 28 meV/atom
total magnetic moment: 0.0 μB/cell
ΔE_f (raw): 0.43 eV/atom



## La2ReTe (PBE)

Data for a geometry-optimized La2ReTe structure.

a b c (Å): 4.5707 4.2883 6.0898
angles (deg): 69.44 90.00 90.00
With the nearest neighbours (Å) after each atom.
Fractional coordinates of all 4 atoms:
Te (0.5000, 0.5540, 0.7688)  2 Re 2.83
Re (0.0000, 0.6973, 0.4768)  2 Te 2.83
La (0.5000, 0.2626, 0.3489)  3 Te 3.21-3.31, 4 Re 3.21-3.22
La (0.0000, 0.9861, 0.9055)  4 Te 3.23, 3 Re 3.24-3.26

Output
calculated volume: 27.939 Å³ per atom
space-group type: Pm, No. 6
total magnetic moment: 0.0 μB/cell
ΔE_f (raw): -0.31 eV/atom



## PaMn2Ga (PBE)

Data for a geometry-optimized PaMn2Ga structure.

a b c (Å): 4.3913 4.3913 4.8058
angles (deg): 62.81 62.81 60.00
With the nearest neighbours (Å) after each atom.
Fractional coordinates of all 4 atoms:
Mn (0.1824, 0.1824, 0.4527)  1 Pa 2.23
Mn (0.8176, 0.8176, 0.5473)  1 Pa 2.23
Pa (0.0000, 0.0000, 0.0000)  2 Mn 2.23
Ga (0.5000, 0.5000, 0.5000)  6 Mn 2.54

Output
calculated volume: 17.045 Å³ per atom
space-group type: R-3m, No. 166
total magnetic moment: 0.0 μB/cell
formation enthalpy at 0 K: -232 meV/atom